# CeVClO4

CeVClO4 after structural relaxation (PBE with a Hubbard U, Alexandria).

## Properties
- total energy (eV for the cell shown) = -207.338
- V (Å³/atom) = 17.21
- total magnetization (μB per formula unit) = 0.0

a = 10.2550 Å, b = 7.1921 Å, c = 6.8081 Å
α = 90.00°, β = 106.36°, γ = 90.00°
Closest atoms and distances in Å follow each position.
Space group C2/m (No. 12)
Unique sites:
Ce 0.2347 0.0000 0.1277 [4 per cell]  4 O 2.23-2.30
V 0.1380 0.5000 0.2714 [4 per cell]  4 O 1.72-1.77
Cl 0.0147 0.0000 0.7705 [4 per cell]  2 Ce 2.81-2.83, 1 O 3.05
O 0.0360 0.5000 0.7805 [4 per cell]  1 V 1.72
O 0.1948 0.3135 0.1478 [8 per cell]  1 V 1.77
O 0.2141 0.5000 0.5312 [4 per cell]  1 V 1.72


# Ce3WCl3O6

Ce3WCl3O6 after structural relaxation (PBE with a Hubbard U, Alexandria).

## Properties
- total energy (eV for the cell shown) = -191.577
- V (Å³/atom) = 15.75
- total magnetization (μB per formula unit) = 3.0
- Fermi-level density of states (states/eV/cell) = 35.9

a = 9.3397 Å, b = 9.3397 Å, c = 5.4205 Å
α = 90.00°, β = 90.00°, γ = 120.00°
Closest atoms and distances in Å follow each position.
Space group P6_3/m (No. 176)
Unique sites:
Ce 0.0901 0.4104 0.2500 [6 per cell]  4 O 2.34-2.47
W 0.3333 0.6667 0.7500 [2 per cell]  6 O 2.01
Cl 0.0514 0.2413 0.7500 [6 per cell]  4 Ce 3.02-3.07, 4 O 3.05-3.07
O 0.1548 0.6348 0.5114 [12 per cell]  1 W 2.01


Question: Which value of total energy does entry 2 give?
Answer: -191.577 eV for the cell shown


Question: Look up the total energy of the second one.
Answer: -191.577 eV for the cell shown


Please write out number 1 again, unchanged.
# CeVClO4

CeVClO4 after structural relaxation (PBE with a Hubbard U, Alexandria).

## Properties
- total energy (eV for the cell shown) = -207.338
- V (Å³/atom) = 17.21
- total magnetization (μB per formula unit) = 0.0

a = 10.2550 Å, b = 7.1921 Å, c = 6.8081 Å
α = 90.00°, β = 106.36°, γ = 90.00°
Closest atoms and distances in Å follow each position.
Space group C2/m (No. 12)
Unique sites:
Ce 0.2347 0.0000 0.1277 [4 per cell]  4 O 2.23-2.30
V 0.1380 0.5000 0.2714 [4 per cell]  4 O 1.72-1.77
Cl 0.0147 0.0000 0.7705 [4 per cell]  2 Ce 2.81-2.83, 1 O 3.05
O 0.0360 0.5000 0.7805 [4 per cell]  1 V 1.72
O 0.1948 0.3135 0.1478 [8 per cell]  1 V 1.77
O 0.2141 0.5000 0.5312 [4 per cell]  1 V 1.72